{"formula": "Ca3Tl5Pb2", "functional": "PBE", "state": "relaxed", "sg": "C2/c (15)", "ef_mev_per_atom": -210, "dos_at_fermi_per_ev_cell": 9.2, "cell": [[5.157, -9.185, 0.000], [5.157, 9.185, 0.000], [-4.794, 0.000, 6.815]], "species": ["Ca", "Ca", "Ca", "Ca", "Ca", "Ca", "Tl", "Tl", "Tl", "Tl", "Tl", "Tl", "Tl", "Tl", "Tl", "Tl", "Pb", "Pb", "Pb", "Pb"], "frac_coords": [[0.028, 0.972, 0.750], [0.063, 0.441, 0.757], [0.441, 0.063, 0.257], [0.559, 0.937, 0.743], [0.937, 0.559, 0.243], [0.972, 0.028, 0.250], [0.208, 0.792, 0.750], [0.241, 0.489, 0.486], [0.298, 0.702, 0.250], [0.476, 0.524, 0.250], [0.489, 0.241, 0.986], [0.511, 0.759, 0.014], [0.524, 0.476, 0.750], [0.702, 0.298, 0.750], [0.759, 0.511, 0.514], [0.792, 0.208, 0.250], [0.006, 0.251, 0.013], [0.251, 0.006, 0.513], [0.749, 0.994, 0.487], [0.994, 0.749, 0.987]]}

***

{"formula": "Ca3TlPb3", "functional": "PBE", "state": "relaxed", "sg": "P2_13 (198)", "ef_mev_per_atom": -354, "dos_at_fermi_per_ev_cell": 15.8, "cell": [[9.611, 0.000, 0.000], [0.000, 9.611, 0.000], [0.000, 0.000, 9.611]], "species": ["Ca", "Ca", "Ca", "Ca", "Ca", "Ca", "Ca", "Ca", "Ca", "Ca", "Ca", "Ca", "Tl", "Tl", "Tl", "Tl", "Pb", "Pb", "Pb", "Pb", "Pb", "Pb", "Pb", "Pb", "Pb", "Pb", "Pb", "Pb"], "frac_coords": [[0.043, 0.216, 0.874], [0.126, 0.543, 0.284], [0.216, 0.874, 0.043], [0.284, 0.126, 0.543], [0.374, 0.457, 0.784], [0.457, 0.784, 0.374], [0.543, 0.284, 0.126], [0.626, 0.957, 0.716], [0.716, 0.626, 0.957], [0.784, 0.374, 0.457], [0.874, 0.043, 0.216], [0.957, 0.716, 0.626], [0.095, 0.405, 0.595], [0.405, 0.595, 0.095], [0.595, 0.095, 0.405], [0.905, 0.905, 0.905], [0.074, 0.574, 0.926], [0.125, 0.875, 0.375], [0.195, 0.195, 0.195], [0.305, 0.805, 0.695], [0.375, 0.125, 0.875], [0.426, 0.426, 0.426], [0.574, 0.926, 0.074], [0.625, 0.625, 0.625], [0.695, 0.305, 0.805], [0.805, 0.695, 0.305], [0.875, 0.375, 0.125], [0.926, 0.074, 0.574]]}

***

{"formula": "Ca3Tl2Pb", "functional": "PBE", "state": "relaxed", "polymorph_energy_ev_per_fu": 0.02, "sg": "P4/mmm (123)", "ef_mev_per_atom": -470, "dos_at_fermi_per_ev_cell": 4.2, "cell": [[3.859, 0.000, 0.000], [0.000, 3.859, 0.000], [0.000, 0.000, 12.022]], "species": ["Ca", "Ca", "Ca", "Tl", "Tl", "Pb"], "frac_coords": [[0.000, 0.000, 0.000], [0.000, 0.000, 0.327], [0.000, 0.000, 0.673], [0.500, 0.500, 0.159], [0.500, 0.500, 0.841], [0.500, 0.500, 0.500]]}

***

{"formula": "Ca2Tl2Pb5", "functional": "PBE", "state": "relaxed", "sg": "C2/m (12)", "ef_mev_per_atom": -133, "dos_at_fermi_per_ev_cell": 3.3, "cell": [[8.064, -2.523, 0.000], [8.064, 2.523, 0.000], [-2.646, 0.000, 7.466]], "species": ["Ca", "Ca", "Tl", "Tl", "Pb", "Pb", "Pb", "Pb", "Pb"], "frac_coords": [[0.034, 0.034, 0.270], [0.966, 0.966, 0.730], [0.313, 0.313, 0.581], [0.687, 0.687, 0.419], [0.222, 0.222, 0.136], [0.407, 0.407, 0.039], [0.500, 0.500, 0.500], [0.593, 0.593, 0.961], [0.778, 0.778, 0.864]]}

***

{"formula": "CaTl4Pb", "functional": "PBE", "state": "relaxed", "polymorph_energy_ev_per_fu": 0.53, "sg": "F-43m (216)", "ef_mev_per_atom": -43, "dos_at_fermi_per_ev_cell": 4.5, "cell": [[0.000, 4.552, 4.552], [4.552, 0.000, 4.552], [4.552, 4.552, 0.000]], "species": ["Ca", "Tl", "Tl", "Tl", "Tl", "Pb"], "frac_coords": [[0.000, 0.000, 0.000], [0.375, 0.375, 0.375], [0.375, 0.375, 0.874], [0.375, 0.874, 0.375], [0.874, 0.375, 0.375], [0.750, 0.750, 0.750]]}

***

{"formula": "CaTlPb", "functional": "PBE", "state": "relaxed", "polymorph_energy_ev_per_fu": 0.03, "sg": "P3m1 (156)", "ef_mev_per_atom": -306, "dos_at_fermi_per_ev_cell": 1.1, "cell": [[5.271, 0.000, 0.000], [-2.635, 4.565, 0.000], [0.000, 0.000, 3.807]], "species": ["Ca", "Tl", "Pb"], "frac_coords": [[0.000, 0.000, 0.000], [0.333, 0.667, 0.676], [0.667, 0.333, 0.390]]}